Compound: YRuRh2
Source: the Alexandria database
Functional: PBE-GGA
Structure: optimized geometry

a = 4.937 Å, b = 4.937 Å, c = 4.903 Å
α = 78.47°, β = 78.47°, γ = 35.30°
Fractional positions:
Rh  0.991  0.991  0.032
Rh  0.509  0.509  0.468
Y  0.750  0.750  0.750
Ru  0.250  0.250  0.250

Values from the calculation:
Magnetization: 0.00 μB per formula unit
Symmetry: C2/m, No. 12
Energy relative to the lowest polymorph listed for this composition: 131 meV per atom

***

Compound: YRuRh2
Source: the Alexandria database
Functional: PBE-GGA
Structure: optimized geometry

a = 4.037 Å, b = 4.037 Å, c = 9.560 Å
α = 77.81°, β = 77.81°, γ = 90.00°
Fractional positions:
Y  0.500  0.500  0.000
Y  0.250  0.750  0.500
Rh  0.375  0.330  0.750
Rh  0.080  0.625  0.250
Rh  0.875  0.920  0.750
Rh  0.670  0.125  0.250
Ru  0.750  0.250  0.500
Ru  0.000  0.000  0.000

Values from the calculation:
Magnetization: 0.00 μB per formula unit
Symmetry: I-42d, No. 122
Energy relative to the lowest polymorph listed for this composition: 407 meV per atom

***

Compound: YRuRh2
Source: the Alexandria database
Functional: PBE-GGA
Structure: optimized geometry

a = 6.491 Å, b = 4.823 Å, c = 2.962 Å
α = 90.07°, β = 62.74°, γ = 122.16°
Fractional positions:
Rh  0.000  0.000  0.000
Rh  0.500  0.000  0.500
Y  0.500  0.500  0.000
Ru  0.000  0.500  0.500

Values from the calculation:
Magnetization: 0.00 μB per formula unit
Symmetry: Cmmm, No. 65
Energy relative to the lowest polymorph listed for this composition: 50 meV per atom

***

| no. | E_form (meV/atom) |
| --- | --- |
| 1 | -111 |
| 2 | 165 |
| 3 | -192 |